This record from Alexandria via LeMat-Bulk describes SrPm2MoO8 after structural relaxation. The functional is PBE+U.

Cell: 5.3733 4.3042 7.0599 Å, 72.25 89.99 90.02°
Sites, in units of the cell vectors:
Sr 0.0000 0.0000 0.5000
Pm 0.4995 0.3712 0.7972
Pm 0.5005 0.6288 0.2028
Mo 0.0000 0.0000 0.0000
O 0.9987 0.6466 0.2542
O 0.7354 0.8097 0.8859
O 0.7337 0.1902 0.1129
O 0.0013 0.3534 0.7458
O 0.2646 0.1903 0.1141
O 0.2663 0.8098 0.8871
O 0.4998 0.8278 0.4986
O 0.5002 0.1722 0.5014

Results
- E_tot: -7.25 eV/atom
- Crystal system: triclinic